# LiHfIrO6 (PBE, optimized geometry)
data_LiHfIrO6
_symmetry_space_group_name_H-M 'P 1'
_symmetry_Int_Tables_number 1
_symmetry_space_group_name_Hall 'P 1'
_cell_length_a 4.798
_cell_length_b 4.798
_cell_length_c 9.228
_cell_angle_alpha 90.00
_cell_angle_beta 90.00
_cell_angle_gamma 90.00
loop_
_atom_site_label
_atom_site_type_symbol
_atom_site_fract_x
_atom_site_fract_y
_atom_site_fract_z
_atom_site_occupancy
Ir1 Ir 0.000 0.000 0.332 1
Ir2 Ir 0.500 0.500 0.832 1
Li1 Li 0.000 0.000 0.002 1
Li2 Li 0.500 0.500 0.502 1
O1 O 0.689 0.689 0.988 1
O2 O 0.281 0.281 0.326 1
O3 O 0.189 0.811 0.488 1
O4 O 0.219 0.781 0.826 1
O5 O 0.311 0.311 0.988 1
O6 O 0.198 0.802 0.185 1
O7 O 0.302 0.302 0.685 1
O8 O 0.781 0.219 0.826 1
O9 O 0.719 0.719 0.326 1
O10 O 0.802 0.198 0.185 1
O11 O 0.811 0.189 0.488 1
O12 O 0.698 0.698 0.685 1
Hf1 Hf 0.000 0.000 0.669 1
Hf2 Hf 0.500 0.500 0.169 1
# * total energy: -0.53658 Ry/atom
# * total moment: 0.19 μB/atom
# * symmetry: P4_2nm, No. 102
# * energy relative to the elements, uncorrected: -1.6920 eV/atom

# NpNi6Sn (PBE, optimized geometry)
data_NpNi6Sn
_symmetry_space_group_name_H-M 'P 1'
_symmetry_Int_Tables_number 1
_symmetry_space_group_name_Hall 'P 1'
_cell_length_a 4.351
_cell_length_b 5.340
_cell_length_c 5.340
_cell_angle_alpha 119.95
_cell_angle_beta 90.00
_cell_angle_gamma 90.00
loop_
_atom_site_label
_atom_site_type_symbol
_atom_site_fract_x
_atom_site_fract_y
_atom_site_fract_z
_atom_site_occupancy
Ni1 Ni 0.500 0.906 0.562 1
Ni2 Ni 0.500 0.906 0.094 1
Ni3 Ni 0.000 0.070 0.410 1
Ni4 Ni 0.000 0.590 0.930 1
Ni5 Ni 0.000 0.590 0.410 1
Ni6 Ni 0.500 0.438 0.094 1
Np1 Np 0.000 0.084 0.916 1
Sn1 Sn 0.500 0.416 0.584 1
# * total energy: -0.48162 Ry/atom
# * total moment: 0.29 μB/atom
# * ΔE_f: -0.099 eV per atom
# * symmetry: Amm2, No. 38

# LaBeCr2Cl (PBE, optimized geometry)
data_LaBeCr2Cl
_symmetry_space_group_name_H-M 'P 1'
_symmetry_Int_Tables_number 1
_symmetry_space_group_name_Hall 'P 1'
_cell_length_a 4.330
_cell_length_b 4.515
_cell_length_c 4.330
_cell_angle_alpha 90.00
_cell_angle_beta 90.00
_cell_angle_gamma 90.00
loop_
_atom_site_label
_atom_site_type_symbol
_atom_site_fract_x
_atom_site_fract_y
_atom_site_fract_z
_atom_site_occupancy
Cr1 Cr 0.500 0.000 0.000 1
Cr2 Cr 0.000 0.000 0.500 1
La1 La 0.500 0.500 0.500 1
Cl1 Cl 0.000 0.000 0.000 1
Be1 Be 0.000 0.500 0.000 1
# * total energy: -0.37063 Ry/atom
# * total moment: 0.00 μB/atom
# * symmetry: P4/mmm, No. 123
# * energy relative to the elements, uncorrected: 0.9067 eV/atom